[1]
DFT (PBE) results for a relaxed structure of CdHgAs2.

Computed properties:
**Uncorrected energy**: -9.970 eV for the cell shown
**SG**: Imm2 (44)
**Energy of formation**: 137 meV/atom

The structure in CIF format:
```
data_CdHgAs2
_chemical_formula_sum 'Cd1 Hg1 As2'
_cell_length_a 7.341
_cell_length_b 7.341
_cell_length_c 7.341
_cell_angle_alpha 151.92
_cell_angle_beta 147.89
_cell_angle_gamma 43.17
_symmetry_space_group_name_H-M 'P 1'
_symmetry_Int_Tables_number 1
loop_
_symmetry_equiv_pos_as_xyz
'x,y,z'
loop_
_atom_site_label
_atom_site_type_symbol
_atom_site_fract_x
_atom_site_fract_y
_atom_site_fract_z
Cd1 Cd 0.000 0.000 0.000
Hg1 Hg 0.341 0.841 0.500
As1 As 0.596 0.596 0.000
As2 As 0.724 0.224 0.500
```


[2]
DFT (PBE) results for a relaxed structure of LaRe2RhBr.

Computed properties:
**Uncorrected energy**: -33.414 eV for the cell shown
**SG**: P4/mmm (123)

The structure in CIF format:
```
data_LaRe2RhBr
_chemical_formula_sum 'La1 Re2 Rh1 Br1'
_cell_length_a 4.750
_cell_length_b 4.750
_cell_length_c 5.230
_cell_angle_alpha 90.00
_cell_angle_beta 90.00
_cell_angle_gamma 90.00
_symmetry_space_group_name_H-M 'P 1'
_symmetry_Int_Tables_number 1
loop_
_symmetry_equiv_pos_as_xyz
'x,y,z'
loop_
_atom_site_label
_atom_site_type_symbol
_atom_site_fract_x
_atom_site_fract_y
_atom_site_fract_z
La1 La 0.000 0.000 0.000
Re1 Re 0.000 0.500 0.500
Re2 Re 0.500 0.000 0.500
Rh1 Rh 0.500 0.500 0.500
Br1 Br 0.500 0.500 0.000
```


[3]
DFT (PBE) results for a relaxed structure of CrInRu2.

Computed properties:
**Uncorrected energy**: -57.846 eV for the cell shown
**SG**: I-42d (122)
**Energy of formation**: 498 meV/atom

The structure in CIF format:
```
data_CrInRu2
_chemical_formula_sum 'Cr2 In2 Ru4'
_cell_length_a 5.649
_cell_length_b 5.649
_cell_length_c 5.649
_cell_angle_alpha 103.43
_cell_angle_beta 103.43
_cell_angle_gamma 122.37
_symmetry_space_group_name_H-M 'P 1'
_symmetry_Int_Tables_number 1
loop_
_symmetry_equiv_pos_as_xyz
'x,y,z'
loop_
_atom_site_label
_atom_site_type_symbol
_atom_site_fract_x
_atom_site_fract_y
_atom_site_fract_z
Cr1 Cr 0.000 0.000 0.000
Cr2 Cr 0.750 0.250 0.500
In1 In 0.250 0.750 0.500
In2 In 0.500 0.500 0.000
Ru1 Ru 0.060 0.625 0.935
Ru2 Ru 0.375 0.310 0.435
Ru3 Ru 0.690 0.125 0.065
Ru4 Ru 0.875 0.940 0.565
```


[4]
DFT (PBE) results for a relaxed structure of BeHgI3.

Computed properties:
**Uncorrected energy**: -5.370 eV for the cell shown
**SG**: Pm-3m (221)

The structure in CIF format:
```
data_BeHgI3
_chemical_formula_sum 'Be1 Hg1 I3'
_cell_length_a 5.906
_cell_length_b 5.906
_cell_length_c 5.906
_cell_angle_alpha 90.00
_cell_angle_beta 90.00
_cell_angle_gamma 90.00
_symmetry_space_group_name_H-M 'P 1'
_symmetry_Int_Tables_number 1
loop_
_symmetry_equiv_pos_as_xyz
'x,y,z'
loop_
_atom_site_label
_atom_site_type_symbol
_atom_site_fract_x
_atom_site_fract_y
_atom_site_fract_z
Be1 Be 0.000 0.000 0.000
Hg1 Hg 0.500 0.500 0.500
I1 I 0.000 0.500 0.500
I2 I 0.500 0.000 0.500
I3 I 0.500 0.500 0.000
```


[5]
DFT (PBE) results for a relaxed structure of PmNdGa2Pd2.

Computed properties:
**Uncorrected energy**: -30.832 eV for the cell shown
**SG**: P-3m1 (164)
**Energy of formation**: -812 meV/atom

The structure in CIF format:
```
data_PmNdGa2Pd2
_chemical_formula_sum 'Pm1 Nd1 Ga2 Pd2'
_cell_length_a 4.549
_cell_length_b 4.549
_cell_length_c 7.181
_cell_angle_alpha 90.00
_cell_angle_beta 90.00
_cell_angle_gamma 120.00
_symmetry_space_group_name_H-M 'P 1'
_symmetry_Int_Tables_number 1
loop_
_symmetry_equiv_pos_as_xyz
'x,y,z'
loop_
_atom_site_label
_atom_site_type_symbol
_atom_site_fract_x
_atom_site_fract_y
_atom_site_fract_z
Pm1 Pm 0.000 0.000 0.000
Nd1 Nd 0.000 0.000 0.500
Ga1 Ga 0.333 0.667 0.246
Ga2 Ga 0.667 0.333 0.754
Pd1 Pd 0.333 0.667 0.754
Pd2 Pd 0.667 0.333 0.246
```


[6]
DFT (PBE) results for a relaxed structure of TbHo3Ag3.

Computed properties:
**Uncorrected energy**: -55.910 eV for the cell shown
**SG**: C2/m (12)
**Energy of formation**: -148 meV/atom

The structure in CIF format:
```
data_TbHo3Ag3
_chemical_formula_sum 'Tb2 Ho6 Ag6'
_cell_length_a 7.275
_cell_length_b 7.275
_cell_length_c 6.972
_cell_angle_alpha 90.60
_cell_angle_beta 90.60
_cell_angle_gamma 94.22
_symmetry_space_group_name_H-M 'P 1'
_symmetry_Int_Tables_number 1
loop_
_symmetry_equiv_pos_as_xyz
'x,y,z'
loop_
_atom_site_label
_atom_site_type_symbol
_atom_site_fract_x
_atom_site_fract_y
_atom_site_fract_z
Tb1 Tb 0.244 0.244 0.350
Tb2 Tb 0.756 0.756 0.650
Ho1 Ho 0.123 0.123 0.840
Ho2 Ho 0.240 0.760 0.500
Ho3 Ho 0.316 0.684 0.000
Ho4 Ho 0.684 0.316 0.000
Ho5 Ho 0.760 0.240 0.500
Ho6 Ho 0.877 0.877 0.160
Ag1 Ag 0.020 0.496 0.770
Ag2 Ag 0.427 0.427 0.689
Ag3 Ag 0.496 0.020 0.770
Ag4 Ag 0.504 0.980 0.230
Ag5 Ag 0.573 0.573 0.311
Ag6 Ag 0.980 0.504 0.230
```


[7]
DFT (PBE) results for a relaxed structure of AcTlI4.

Computed properties:
**Uncorrected energy**: -39.937 eV for the cell shown
**SG**: C2/c (15)

The structure in CIF format:
```
data_AcTlI4
_chemical_formula_sum 'Ac2 Tl2 I8'
_cell_length_a 9.364
_cell_length_b 9.364
_cell_length_c 8.177
_cell_angle_alpha 109.06
_cell_angle_beta 109.06
_cell_angle_gamma 109.73
_symmetry_space_group_name_H-M 'P 1'
_symmetry_Int_Tables_number 1
loop_
_symmetry_equiv_pos_as_xyz
'x,y,z'
loop_
_atom_site_label
_atom_site_type_symbol
_atom_site_fract_x
_atom_site_fract_y
_atom_site_fract_z
Ac1 Ac 0.005 0.995 0.750
Ac2 Ac 0.995 0.005 0.250
Tl1 Tl 0.368 0.632 0.250
Tl2 Tl 0.632 0.368 0.750
I1 I 0.059 0.723 0.929
I2 I 0.228 0.352 0.722
I3 I 0.277 0.941 0.571
I4 I 0.352 0.228 0.222
I5 I 0.648 0.772 0.778
I6 I 0.723 0.059 0.429
I7 I 0.772 0.648 0.278
I8 I 0.941 0.277 0.071
```


[8]
DFT (PBE) results for a relaxed structure of NpCl2O2F2.

Computed properties:
**Uncorrected energy**: -43.797 eV for the cell shown
**SG**: C2/m (12)

The structure in CIF format:
```
data_NpCl2O2F2
_chemical_formula_sum 'Np1 Cl2 O2 F2'
_cell_length_a 5.932
_cell_length_b 5.932
_cell_length_c 5.201
_cell_angle_alpha 108.44
_cell_angle_beta 108.44
_cell_angle_gamma 55.80
_symmetry_space_group_name_H-M 'P 1'
_symmetry_Int_Tables_number 1
loop_
_symmetry_equiv_pos_as_xyz
'x,y,z'
loop_
_atom_site_label
_atom_site_type_symbol
_atom_site_fract_x
_atom_site_fract_y
_atom_site_fract_z
Np1 Np 0.000 0.000 0.000
Cl1 Cl 0.498 0.498 0.246
Cl2 Cl 0.502 0.502 0.754
O1 O 0.159 0.159 0.276
O2 O 0.841 0.841 0.724
F1 F 0.115 0.115 0.755
F2 F 0.885 0.885 0.245
```